First-principles (PBE-GGA) data for SmZnGaNi3 after structural relaxation, as listed in Alexandria.

a b c (Å): 5.786 5.610 6.569
angles (deg): 115.27 90.00 90.00
Positions (direct):
Sm 0.750 0.308 0.616
Sm 0.250 0.692 0.384
Zn 0.250 0.927 0.855
Zn 0.750 0.073 0.145
Ga 0.250 0.360 0.720
Ga 0.750 0.640 0.280
Ni 0.250 0.147 0.294
Ni 0.000 0.287 0.000
Ni 0.500 0.713 0.000
Ni 0.500 0.287 0.000
Ni 0.000 0.713 0.000
Ni 0.750 0.853 0.706

E_form ... -0.2036 eV/atom
V ... 16.07 Å³ per atom